A | Material: NaSr2W2
Method: DFT, PBE
State: relaxed

```
data_NaSr2W2
_cell_length_a 9.603
_cell_length_b 9.603
_cell_length_c 3.165
_cell_angle_alpha 90.00
_cell_angle_beta 90.00
_cell_angle_gamma 90.00
_space_group_name_H-M_alt 'P 1'
_space_group_IT_number 1
loop_
_space_group_symop_operation_xyz
'x,y,z'
loop_
_atom_site_label
_atom_site_type_symbol
_atom_site_fract_x
_atom_site_fract_y
_atom_site_fract_z
_atom_site_occupancy
Na1 Na 0.000 0.000 0.000 1
Na2 Na 0.500 0.500 0.000 1
Sr1 Sr 0.201 0.299 0.000 1
Sr2 Sr 0.299 0.799 0.000 1
Sr3 Sr 0.701 0.201 0.000 1
Sr4 Sr 0.799 0.701 0.000 1
W1 W 0.084 0.584 0.500 1
W2 W 0.416 0.084 0.500 1
W3 W 0.584 0.916 0.500 1
W4 W 0.916 0.416 0.500 1
```



B | Material: NaSr2W2
Method: DFT, PBE
State: relaxed

```
data_NaSr2W2
_cell_length_a 3.703
_cell_length_b 3.703
_cell_length_c 23.895
_cell_angle_alpha 90.00
_cell_angle_beta 90.00
_cell_angle_gamma 90.00
_space_group_name_H-M_alt 'P 1'
_space_group_IT_number 1
loop_
_space_group_symop_operation_xyz
'x,y,z'
loop_
_atom_site_label
_atom_site_type_symbol
_atom_site_fract_x
_atom_site_fract_y
_atom_site_fract_z
_atom_site_occupancy
Na1 Na 0.000 0.000 0.000 1
Na2 Na 0.500 0.500 0.500 1
Sr1 Sr 0.000 0.000 0.367 1
Sr2 Sr 0.000 0.000 0.633 1
Sr3 Sr 0.500 0.500 0.133 1
Sr4 Sr 0.500 0.500 0.867 1
W1 W 0.000 0.500 0.250 1
W2 W 0.000 0.500 0.750 1
W3 W 0.500 0.000 0.250 1
W4 W 0.500 0.000 0.750 1
```



What should be chosen as the most stable of them? Choose B.



A | Material: Na2SrY
Method: DFT, PBE
State: relaxed

```
data_Na2SrY
_cell_length_a 9.315
_cell_length_b 9.315
_cell_length_c 7.280
_cell_angle_alpha 90.00
_cell_angle_beta 90.00
_cell_angle_gamma 90.00
_space_group_name_H-M_alt 'P 1'
_space_group_IT_number 1
loop_
_space_group_symop_operation_xyz
'x,y,z'
loop_
_atom_site_label
_atom_site_type_symbol
_atom_site_fract_x
_atom_site_fract_y
_atom_site_fract_z
_atom_site_occupancy
Na1 Na 0.242 0.750 0.125 1
Na2 Na 0.250 0.242 0.875 1
Na3 Na 0.250 0.258 0.375 1
Na4 Na 0.258 0.750 0.625 1
Na5 Na 0.742 0.250 0.625 1
Na6 Na 0.750 0.742 0.375 1
Na7 Na 0.750 0.758 0.875 1
Na8 Na 0.758 0.250 0.125 1
Sr1 Sr 0.000 0.000 0.500 1
Sr2 Sr 0.000 0.500 0.750 1
Sr3 Sr 0.500 0.000 0.250 1
Sr4 Sr 0.500 0.500 0.000 1
Y1 Y 0.000 0.000 0.000 1
Y2 Y 0.000 0.500 0.250 1
Y3 Y 0.500 0.000 0.750 1
Y4 Y 0.500 0.500 0.500 1
```



B | Material: Na2SrY
Method: DFT, PBE
State: relaxed

```
data_Na2SrY
_cell_length_a 3.696
_cell_length_b 3.696
_cell_length_c 41.193
_cell_angle_alpha 90.00
_cell_angle_beta 90.00
_cell_angle_gamma 120.00
_space_group_name_H-M_alt 'P 1'
_space_group_IT_number 1
loop_
_space_group_symop_operation_xyz
'x,y,z'
loop_
_atom_site_label
_atom_site_type_symbol
_atom_site_fract_x
_atom_site_fract_y
_atom_site_fract_z
_atom_site_occupancy
Na1 Na 0.000 0.000 0.084 1
Na2 Na 0.000 0.000 0.916 1
Na3 Na 0.333 0.667 0.582 1
Na4 Na 0.333 0.667 0.751 1
Na5 Na 0.667 0.333 0.249 1
Na6 Na 0.667 0.333 0.418 1
Sr1 Sr 0.000 0.000 0.500 1
Sr2 Sr 0.333 0.667 0.167 1
Sr3 Sr 0.667 0.333 0.833 1
Y1 Y 0.000 0.000 0.000 1
Y2 Y 0.333 0.667 0.667 1
Y3 Y 0.667 0.333 0.333 1
```



What should be chosen as the most stable of them? Choose B.



A | Material: NaSrY3
Method: DFT, PBE
State: relaxed

```
data_NaSrY3
_cell_length_a 5.787
_cell_length_b 5.787
_cell_length_c 5.787
_cell_angle_alpha 90.00
_cell_angle_beta 90.00
_cell_angle_gamma 90.00
_space_group_name_H-M_alt 'P 1'
_space_group_IT_number 1
loop_
_space_group_symop_operation_xyz
'x,y,z'
loop_
_atom_site_label
_atom_site_type_symbol
_atom_site_fract_x
_atom_site_fract_y
_atom_site_fract_z
_atom_site_occupancy
Na1 Na 0.000 0.000 0.000 1
Sr1 Sr 0.500 0.500 0.500 1
Y1 Y 0.000 0.000 0.500 1
Y2 Y 0.000 0.500 0.000 1
Y3 Y 0.500 0.000 0.000 1
```



B | Material: NaSrY3
Method: DFT, PBE
State: relaxed

```
data_NaSrY3
_cell_length_a 5.859
_cell_length_b 5.859
_cell_length_c 5.859
_cell_angle_alpha 90.00
_cell_angle_beta 90.00
_cell_angle_gamma 90.00
_space_group_name_H-M_alt 'P 1'
_space_group_IT_number 1
loop_
_space_group_symop_operation_xyz
'x,y,z'
loop_
_atom_site_label
_atom_site_type_symbol
_atom_site_fract_x
_atom_site_fract_y
_atom_site_fract_z
_atom_site_occupancy
Na1 Na 0.000 0.000 0.000 1
Sr1 Sr 0.500 0.500 0.500 1
Y1 Y 0.000 0.500 0.500 1
Y2 Y 0.500 0.000 0.500 1
Y3 Y 0.500 0.500 0.000 1
```



What should be chosen as the most stable of them? Choose A.



A | Material: Na2Sr2Y
Method: DFT, PBE
State: relaxed

```
data_Na2Sr2Y
_cell_length_a 10.277
_cell_length_b 10.277
_cell_length_c 3.942
_cell_angle_alpha 90.00
_cell_angle_beta 90.00
_cell_angle_gamma 90.00
_space_group_name_H-M_alt 'P 1'
_space_group_IT_number 1
loop_
_space_group_symop_operation_xyz
'x,y,z'
loop_
_atom_site_label
_atom_site_type_symbol
_atom_site_fract_x
_atom_site_fract_y
_atom_site_fract_z
_atom_site_occupancy
Na1 Na 0.160 0.340 0.000 1
Na2 Na 0.340 0.840 0.000 1
Na3 Na 0.660 0.160 0.000 1
Na4 Na 0.840 0.660 0.000 1
Sr1 Sr 0.142 0.642 0.500 1
Sr2 Sr 0.358 0.142 0.500 1
Sr3 Sr 0.642 0.858 0.500 1
Sr4 Sr 0.858 0.358 0.500 1
Y1 Y 0.000 0.000 0.500 1
Y2 Y 0.500 0.500 0.500 1
```



B | Material: Na2Sr2Y
Method: DFT, PBE
State: relaxed

```
data_Na2Sr2Y
_cell_length_a 9.695
_cell_length_b 9.695
_cell_length_c 4.407
_cell_angle_alpha 90.00
_cell_angle_beta 90.00
_cell_angle_gamma 90.00
_space_group_name_H-M_alt 'P 1'
_space_group_IT_number 1
loop_
_space_group_symop_operation_xyz
'x,y,z'
loop_
_atom_site_label
_atom_site_type_symbol
_atom_site_fract_x
_atom_site_fract_y
_atom_site_fract_z
_atom_site_occupancy
Na1 Na 0.120 0.380 0.000 1
Na2 Na 0.380 0.880 0.000 1
Na3 Na 0.620 0.120 0.000 1
Na4 Na 0.880 0.620 0.000 1
Sr1 Sr 0.183 0.683 0.500 1
Sr2 Sr 0.317 0.183 0.500 1
Sr3 Sr 0.683 0.817 0.500 1
Sr4 Sr 0.817 0.317 0.500 1
Y1 Y 0.000 0.000 0.000 1
Y2 Y 0.500 0.500 0.000 1
```



What should be chosen as the most stable of them? Choose B.



A | Material: NaSrZn
Method: DFT, PBE
State: relaxed

```
data_NaSrZn
_cell_length_a 7.568
_cell_length_b 7.568
_cell_length_c 7.568
_cell_angle_alpha 90.00
_cell_angle_beta 90.00
_cell_angle_gamma 90.00
_space_group_name_H-M_alt 'P 1'
_space_group_IT_number 1
loop_
_space_group_symop_operation_xyz
'x,y,z'
loop_
_atom_site_label
_atom_site_type_symbol
_atom_site_fract_x
_atom_site_fract_y
_atom_site_fract_z
_atom_site_occupancy
Na1 Na 0.000 0.000 0.000 1
Na2 Na 0.000 0.500 0.500 1
Na3 Na 0.500 0.000 0.500 1
Na4 Na 0.500 0.500 0.000 1
Sr1 Sr 0.000 0.000 0.500 1
Sr2 Sr 0.000 0.500 0.000 1
Sr3 Sr 0.500 0.000 0.000 1
Sr4 Sr 0.500 0.500 0.500 1
Zn1 Zn 0.250 0.250 0.250 1
Zn2 Zn 0.250 0.750 0.750 1
Zn3 Zn 0.750 0.250 0.750 1
Zn4 Zn 0.750 0.750 0.250 1
```



B | Material: NaSrZn
Method: DFT, PBE
State: relaxed

```
data_NaSrZn
_cell_length_a 4.294
_cell_length_b 4.587
_cell_length_c 10.676
_cell_angle_alpha 90.00
_cell_angle_beta 90.13
_cell_angle_gamma 90.00
_space_group_name_H-M_alt 'P 1'
_space_group_IT_number 1
loop_
_space_group_symop_operation_xyz
'x,y,z'
loop_
_atom_site_label
_atom_site_type_symbol
_atom_site_fract_x
_atom_site_fract_y
_atom_site_fract_z
_atom_site_occupancy
Na1 Na 0.002 0.250 0.385 1
Na2 Na 0.998 0.750 0.615 1
Sr1 Sr 0.499 0.250 0.827 1
Sr2 Sr 0.501 0.750 0.173 1
Zn1 Zn 0.000 0.250 0.065 1
Zn2 Zn 0.000 0.750 0.935 1
```



What should be chosen as the most stable of them? Choose B.



A | Material: NaSrZn
Method: DFT, PBE
State: relaxed

```
data_NaSrZn
_cell_length_a 5.238
_cell_length_b 5.238
_cell_length_c 4.119
_cell_angle_alpha 90.00
_cell_angle_beta 90.00
_cell_angle_gamma 120.00
_space_group_name_H-M_alt 'P 1'
_space_group_IT_number 1
loop_
_space_group_symop_operation_xyz
'x,y,z'
loop_
_atom_site_label
_atom_site_type_symbol
_atom_site_fract_x
_atom_site_fract_y
_atom_site_fract_z
_atom_site_occupancy
Na1 Na 0.000 0.000 0.000 1
Sr1 Sr 0.667 0.333 0.499 1
Zn1 Zn 0.333 0.667 0.997 1
```



B | Material: NaSrZn
Method: DFT, PBE
State: relaxed

```
data_NaSrZn
_cell_length_a 4.391
_cell_length_b 4.403
_cell_length_c 13.464
_cell_angle_alpha 89.41
_cell_angle_beta 89.59
_cell_angle_gamma 60.55
_space_group_name_H-M_alt 'P 1'
_space_group_IT_number 1
loop_
_space_group_symop_operation_xyz
'x,y,z'
loop_
_atom_site_label
_atom_site_type_symbol
_atom_site_fract_x
_atom_site_fract_y
_atom_site_fract_z
_atom_site_occupancy
Na1 Na 0.167 0.170 0.098 1
Na2 Na 0.833 0.830 0.902 1
Sr1 Sr 0.499 0.496 0.661 1
Sr2 Sr 0.501 0.504 0.339 1
Zn1 Zn 0.167 0.167 0.499 1
Zn2 Zn 0.833 0.833 0.501 1
```



C | Material: NaSrZn
Method: DFT, PBE
State: relaxed

```
data_NaSrZn
_cell_length_a 3.956
_cell_length_b 3.956
_cell_length_c 12.443
_cell_angle_alpha 90.00
_cell_angle_beta 90.00
_cell_angle_gamma 90.00
_space_group_name_H-M_alt 'P 1'
_space_group_IT_number 1
loop_
_space_group_symop_operation_xyz
'x,y,z'
loop_
_atom_site_label
_atom_site_type_symbol
_atom_site_fract_x
_atom_site_fract_y
_atom_site_fract_z
_atom_site_occupancy
Na1 Na 0.000 0.000 0.000 1
Na2 Na 0.500 0.500 0.500 1
Sr1 Sr 0.000 0.000 0.719 1
Sr2 Sr 0.500 0.500 0.219 1
Zn1 Zn 0.000 0.000 0.365 1
Zn2 Zn 0.500 0.500 0.865 1
```



D | Material: NaSrZn
Method: DFT, PBE
State: relaxed

```
data_NaSrZn
_cell_length_a 4.360
_cell_length_b 20.631
_cell_length_c 4.520
_cell_angle_alpha 90.00
_cell_angle_beta 90.00
_cell_angle_gamma 90.00
_space_group_name_H-M_alt 'P 1'
_space_group_IT_number 1
loop_
_space_group_symop_operation_xyz
'x,y,z'
loop_
_atom_site_label
_atom_site_type_symbol
_atom_site_fract_x
_atom_site_fract_y
_atom_site_fract_z
_atom_site_occupancy
Na1 Na 0.000 0.204 0.250 1
Na2 Na 0.000 0.796 0.750 1
Na3 Na 0.500 0.296 0.750 1
Na4 Na 0.500 0.704 0.250 1
Sr1 Sr 0.000 0.411 0.250 1
Sr2 Sr 0.000 0.589 0.750 1
Sr3 Sr 0.500 0.089 0.750 1
Sr4 Sr 0.500 0.911 0.250 1
Zn1 Zn 0.000 0.033 0.250 1
Zn2 Zn 0.000 0.967 0.750 1
Zn3 Zn 0.500 0.467 0.750 1
Zn4 Zn 0.500 0.533 0.250 1
```



What should be chosen as the most stable of them? Choose D.



A | Material: NaSr4Zn2
Method: DFT, PBE
State: relaxed

```
data_NaSr4Zn2
_cell_length_a 11.014
_cell_length_b 11.014
_cell_length_c 11.014
_cell_angle_alpha 29.20
_cell_angle_beta 29.20
_cell_angle_gamma 29.20
_space_group_name_H-M_alt 'P 1'
_space_group_IT_number 1
loop_
_space_group_symop_operation_xyz
'x,y,z'
loop_
_atom_site_label
_atom_site_type_symbol
_atom_site_fract_x
_atom_site_fract_y
_atom_site_fract_z
_atom_site_occupancy
Na1 Na 0.000 0.000 0.000 1
Sr1 Sr 0.203 0.203 0.203 1
Sr2 Sr 0.389 0.389 0.389 1
Sr3 Sr 0.611 0.611 0.611 1
Sr4 Sr 0.797 0.797 0.797 1
Zn1 Zn 0.096 0.096 0.096 1
Zn2 Zn 0.904 0.904 0.904 1
```



B | Material: NaSr4Zn2
Method: DFT, PBE
State: relaxed

```
data_NaSr4Zn2
_cell_length_a 5.907
_cell_length_b 5.907
_cell_length_c 17.337
_cell_angle_alpha 90.00
_cell_angle_beta 90.00
_cell_angle_gamma 119.99
_space_group_name_H-M_alt 'P 1'
_space_group_IT_number 1
loop_
_space_group_symop_operation_xyz
'x,y,z'
loop_
_atom_site_label
_atom_site_type_symbol
_atom_site_fract_x
_atom_site_fract_y
_atom_site_fract_z
_atom_site_occupancy
Na1 Na 0.001 0.999 0.750 1
Na2 Na 0.999 0.001 0.250 1
Sr1 Sr 0.000 0.000 0.000 1
Sr2 Sr 0.000 0.000 0.500 1
Sr3 Sr 0.333 0.667 0.120 1
Sr4 Sr 0.333 0.667 0.380 1
Sr5 Sr 0.334 0.666 0.750 1
Sr6 Sr 0.666 0.334 0.250 1
Sr7 Sr 0.667 0.333 0.620 1
Sr8 Sr 0.667 0.333 0.880 1
Zn1 Zn 0.333 0.667 0.565 1
Zn2 Zn 0.333 0.667 0.935 1
Zn3 Zn 0.667 0.333 0.065 1
Zn4 Zn 0.667 0.333 0.435 1
```



What should be chosen as the most stable of them? Choose B.



A | Material: NaTa
Method: DFT, PBE
State: relaxed

```
data_NaTa
_cell_length_a 10.020
_cell_length_b 10.020
_cell_length_c 2.962
_cell_angle_alpha 90.00
_cell_angle_beta 90.00
_cell_angle_gamma 120.00
_space_group_name_H-M_alt 'P 1'
_space_group_IT_number 1
loop_
_space_group_symop_operation_xyz
'x,y,z'
loop_
_atom_site_label
_atom_site_type_symbol
_atom_site_fract_x
_atom_site_fract_y
_atom_site_fract_z
_atom_site_occupancy
Na1 Na 0.146 0.293 0.250 1
Na2 Na 0.146 0.854 0.250 1
Na3 Na 0.293 0.146 0.750 1
Na4 Na 0.707 0.854 0.250 1
Na5 Na 0.854 0.146 0.750 1
Na6 Na 0.854 0.707 0.750 1
Ta1 Ta 0.141 0.571 0.750 1
Ta2 Ta 0.429 0.571 0.750 1
Ta3 Ta 0.429 0.859 0.750 1
Ta4 Ta 0.571 0.141 0.250 1
Ta5 Ta 0.571 0.429 0.250 1
Ta6 Ta 0.859 0.429 0.250 1
```



B | Material: NaTa
Method: DFT, PBE
State: relaxed

```
data_NaTa
_cell_length_a 4.924
_cell_length_b 4.924
_cell_length_c 5.482
_cell_angle_alpha 90.00
_cell_angle_beta 90.00
_cell_angle_gamma 120.00
_space_group_name_H-M_alt 'P 1'
_space_group_IT_number 1
loop_
_space_group_symop_operation_xyz
'x,y,z'
loop_
_atom_site_label
_atom_site_type_symbol
_atom_site_fract_x
_atom_site_fract_y
_atom_site_fract_z
_atom_site_occupancy
Na1 Na 0.333 0.667 0.250 1
Na2 Na 0.667 0.333 0.750 1
Ta1 Ta 0.333 0.667 0.750 1
Ta2 Ta 0.667 0.333 0.250 1
```



C | Material: NaTa
Method: DFT, PBE
State: relaxed

```
data_NaTa
_cell_length_a 11.705
_cell_length_b 11.705
_cell_length_c 2.907
_cell_angle_alpha 90.00
_cell_angle_beta 90.00
_cell_angle_gamma 90.00
_space_group_name_H-M_alt 'P 1'
_space_group_IT_number 1
loop_
_space_group_symop_operation_xyz
'x,y,z'
loop_
_atom_site_label
_atom_site_type_symbol
_atom_site_fract_x
_atom_site_fract_y
_atom_site_fract_z
_atom_site_occupancy
Na1 Na 0.079 0.619 0.000 1
Na2 Na 0.115 0.160 0.500 1
Na3 Na 0.160 0.885 0.500 1
Na4 Na 0.381 0.079 0.000 1
Na5 Na 0.619 0.921 0.000 1
Na6 Na 0.840 0.115 0.500 1
Na7 Na 0.885 0.840 0.500 1
Na8 Na 0.921 0.381 0.000 1
Ta1 Ta 0.232 0.387 0.000 1
Ta2 Ta 0.342 0.565 0.500 1
Ta3 Ta 0.387 0.768 0.000 1
Ta4 Ta 0.435 0.342 0.500 1
Ta5 Ta 0.565 0.658 0.500 1
Ta6 Ta 0.613 0.232 0.000 1
Ta7 Ta 0.658 0.435 0.500 1
Ta8 Ta 0.768 0.613 0.000 1
```



What should be chosen as the most stable of them? Choose C.